Record 1
DFT (GGA-PBE) results for crystalline AcTbRhO6 at its relaxed geometry.

Calculated values
M_tot, μB/cell: 2.991
Density of states at the Fermi level, states/eV/f.u.: 1.4
Total DFT energy (no corrections), eV per atom: -7.170

Cell: 5.5650 5.5655 5.3023 Å, 90.01 90.00 60.00°
Site moments in Bohr magnetons follow the coordinates.
Fractional positions:
Ac 0.9999 0.0000 0.0000  0.04
Tb 0.6666 0.6667 0.5000  0.06
Rh 0.3333 0.3333 0.5000  1.35
O 0.0395 0.3405 0.2871  0.20
O 0.3406 0.0396 0.7130  0.20
O 0.6198 0.3406 0.7129  0.20
O 0.0395 0.6199 0.7129  0.20
O 0.3406 0.6198 0.2870  0.20
O 0.6198 0.0395 0.2871  0.20

***

Record 2
DFT (GGA-PBE) results for crystalline Ac2TcRhO6 at its relaxed geometry.

Calculated values
M_tot, μB/cell: 3.955
Density of states at the Fermi level, states/eV/f.u.: 2.7
Total DFT energy (no corrections), eV per atom: -7.603

Cell: 5.7136 5.7136 10.2222 Å, 73.77 73.77 60.00°
Site moments in Bohr magnetons follow the coordinates.
Fractional positions:
Ac 0.8736 0.8736 0.3791  0.02
Ac 0.1264 0.1264 0.6209  0.02
Ac 0.7194 0.7194 0.8419  0.01
Ac 0.2806 0.2806 0.1581  0.01
Tc 0.0000 0.0000 0.0000  2.34
Tc 0.5000 0.5000 0.5000  -0.25
Rh 0.5865 0.5865 0.2406  0.48
Rh 0.4135 0.4135 0.7594  0.48
O 0.8866 0.3700 0.3734  0.02
O 0.3700 0.8866 0.3734  0.02
O 0.3700 0.3700 0.3734  0.02
O 0.1134 0.6300 0.6266  0.02
O 0.6300 0.1134 0.6266  0.02
O 0.6300 0.6300 0.6266  0.02
O 0.7262 0.2022 0.8695  0.07
O 0.2022 0.7262 0.8695  0.07
O 0.2022 0.2022 0.8695  0.07
O 0.2738 0.7978 0.1305  0.07
O 0.7978 0.2738 0.1305  0.07
O 0.7978 0.7978 0.1305  0.07

***

Record 3
DFT (GGA-PBE) results for crystalline AcTc2RhO8 at its relaxed geometry.

Calculated values
M_tot, μB/cell: 0.000
Density of states at the Fermi level, states/eV/f.u.: 6.0
Total DFT energy (no corrections), eV per atom: -7.548

Cell: 4.9905 4.9460 6.3508 Å, 86.76 86.50 86.61°
Fractional positions:
Ac 0.0000 0.0000 0.5000
Tc 0.4857 0.4812 0.7766
Tc 0.5143 0.5188 0.2234
Rh 0.0000 0.0000 0.0000
O 0.1832 0.7184 0.2188
O 0.6903 0.7271 0.9992
O 0.7545 0.2121 0.2130
O 0.8168 0.2816 0.7812
O 0.3097 0.2729 0.0008
O 0.2455 0.7879 0.7870
O 0.6463 0.6820 0.4586
O 0.3537 0.3180 0.5414

***

Record 4
DFT (GGA-PBE) results for crystalline AcTcRhO6 at its relaxed geometry.

Calculated values
M_tot, μB/cell: 1.003
Density of states at the Fermi level, states/eV/f.u.: 3.4
Total DFT energy (no corrections), eV per atom: -7.503

Cell: 5.3396 5.3396 5.2258 Å, 90.00 90.00 60.00°
Site moments in Bohr magnetons follow the coordinates.
Fractional positions:
Ac 0.0000 0.0000 0.0000  0.01
Tc 0.3333 0.3333 0.5000  0.90
Rh 0.6666 0.6667 0.5000  -0.08
O 0.0094 0.3758 0.2922  0.02
O 0.3758 0.0094 0.7078  0.02
O 0.6147 0.3759 0.7078  0.02
O 0.0094 0.6148 0.7077  0.02
O 0.3758 0.6147 0.2922  0.02
O 0.6147 0.0094 0.2922  0.02

***

Record 5
DFT (GGA-PBE) results for crystalline Ac2TcRhO8 at its relaxed geometry.

Calculated values
M_tot, μB/cell: 1.404
Density of states at the Fermi level, states/eV/f.u.: 4.7
Total DFT energy (no corrections), eV per atom: -7.512

Cell: 6.3220 5.1848 6.2027 Å, 104.73 76.15 110.43°
Site moments in Bohr magnetons follow the coordinates.
Fractional positions:
Ac 0.6562 0.3736 0.6796  0.01
Ac 0.3438 0.6264 0.3204  0.01
Tc 0.0000 0.0000 0.0000  0.34
Rh 0.0000 0.0000 0.5000  0.53
O 0.0643 0.7870 0.1790  0.06
O 0.6939 0.7693 0.0260  0.01
O 0.9443 0.2342 0.3064  0.01
O 0.9357 0.2130 0.8210  0.06
O 0.3061 0.2307 0.9740  0.01
O 0.0557 0.7658 0.6936  0.01
O 0.6591 0.8061 0.5427  0.12
O 0.3409 0.1939 0.4573  0.12

***

Record 6
DFT (GGA-PBE) results for crystalline AcTeRhO6 at its relaxed geometry.

Calculated values
M_tot, μB/cell: 0.000
Total DFT energy (no corrections), eV per atom: -6.660

Cell: 5.3850 5.3344 5.3344 Å, 120.00 90.00 90.00°
Fractional positions:
Ac 0.0000 0.3333 0.6667
Te 0.5000 0.0000 0.0000
Rh 0.5000 0.6667 0.3333
O 0.7052 0.7081 0.6783
O 0.7052 0.3217 0.0298
O 0.7052 0.9702 0.2919
O 0.2948 0.3217 0.2919
O 0.2948 0.7081 0.0298
O 0.2948 0.9702 0.6783

***

Record 7
DFT (GGA-PBE) results for crystalline AcTe2RhO8 at its relaxed geometry.

Calculated values
M_tot, μB/cell: 2.122
Density of states at the Fermi level, states/eV/f.u.: 5.7
Total DFT energy (no corrections), eV per atom: -5.884

Cell: 6.4140 6.4140 6.4140 Å, 108.16 108.16 112.12°
Site moments in Bohr magnetons follow the coordinates.
Fractional positions:
Ac 0.0000 0.0000 0.0000  0.00
Te 0.7500 0.2500 0.5000  0.00
Te 0.5000 0.5000 0.0000  -0.01
Rh 0.2500 0.7500 0.5000  1.86
O 0.3997 0.0869 0.3127  0.01
O 0.3280 0.5268 0.1988  0.02
O 0.3280 0.1293 0.8012  0.02
O 0.7742 0.0869 0.6873  0.01
O 0.8707 0.6720 0.1988  0.02
O 0.9131 0.2258 0.3127  0.01
O 0.9131 0.6003 0.6873  0.01
O 0.4732 0.6720 0.8012  0.02

***

Record 8
DFT (GGA-PBE) results for crystalline Ac3TeRhO at its relaxed geometry.

Calculated values
M_tot, μB/cell: 0.004
Density of states at the Fermi level, states/eV/f.u.: 2.0
Total DFT energy (no corrections), eV per atom: -6.320

Cell: 4.3352 9.6846 9.7119 Å, 104.91 90.00 90.00°
Fractional positions:
Ac 0.7500 0.8619 0.1433
Ac 0.2500 0.1381 0.8567
Ac 0.2500 0.8253 0.4748
Ac 0.7500 0.1747 0.5252
Ac 0.7500 0.4446 0.1638
Ac 0.2500 0.5554 0.8362
Te 0.2500 0.1684 0.2333
Te 0.7500 0.8316 0.7667
Rh 0.2500 0.6525 0.1493
Rh 0.7500 0.3475 0.8507
O 0.2500 0.0822 0.5937
O 0.7500 0.9178 0.4063

***

Record 9
DFT (GGA-PBE) results for crystalline Ac2TeRhO6 at its relaxed geometry.

Calculated values
M_tot, μB/cell: 0.845
Density of states at the Fermi level, states/eV/f.u.: 2.9
Total DFT energy (no corrections), eV per atom: -6.686

Cell: 6.0972 6.0972 10.0267 Å, 72.30 72.30 60.00°
Site moments in Bohr magnetons follow the coordinates.
Fractional positions:
Ac 0.8709 0.8709 0.3873  0.01
Ac 0.1291 0.1291 0.6127  0.01
Ac 0.7264 0.7264 0.8208  0.00
Ac 0.2736 0.2736 0.1792  0.00
Te 0.0000 0.0000 0.0000  0.03
Te 0.5000 0.5000 0.5000  -0.01
Rh 0.5895 0.5895 0.2315  0.32
Rh 0.4105 0.4105 0.7685  0.32
O 0.9080 0.3556 0.3807  0.01
O 0.3556 0.9080 0.3807  0.01
O 0.3556 0.3556 0.3807  0.01
O 0.0920 0.6444 0.6193  0.01
O 0.6444 0.0920 0.6193  0.01
O 0.6444 0.6444 0.6193  0.01
O 0.7382 0.2012 0.8594  0.01
O 0.2012 0.7382 0.8594  0.01
O 0.2012 0.2012 0.8594  0.01
O 0.2618 0.7988 0.1406  0.01
O 0.7988 0.2618 0.1406  0.01
O 0.7988 0.7988 0.1406  0.01

***

Record 10
DFT (GGA-PBE) results for crystalline Ac2TiRh3O12 at its relaxed geometry.

Calculated values
M_tot, μB/cell: 2.926
Density of states at the Fermi level, states/eV/f.u.: 13.5
Total DFT energy (no corrections), eV per atom: -7.091

Cell: 7.2199 7.2199 7.2199 Å, 59.74 59.74 59.74°
Site moments in Bohr magnetons follow the coordinates.
Fractional positions:
Ac 0.6889 0.6889 0.6889  0.01
Ac 0.3111 0.3111 0.3111  0.01
Ti 0.0000 0.0000 0.0000  -0.04
Rh 0.5000 0.0000 0.0000  0.47
Rh 0.0000 0.5000 0.0000  0.47
Rh 0.0000 0.0000 0.5000  0.47
O 0.3321 0.3321 0.9441  0.04
O 0.9244 0.9244 0.3247  0.16
O 0.3247 0.9244 0.9244  0.16
O 0.9441 0.3321 0.3321  0.04
O 0.9244 0.3247 0.9244  0.16
O 0.3321 0.9441 0.3321  0.04
O 0.6679 0.6679 0.0559  0.04
O 0.0756 0.0756 0.6753  0.16
O 0.6753 0.0756 0.0756  0.16
O 0.0559 0.6679 0.6679  0.04
O 0.0756 0.6753 0.0756  0.16
O 0.6679 0.0559 0.6679  0.04

***

Record 11
DFT (GGA-PBE) results for crystalline Ac2TiRhO6 at its relaxed geometry.

Calculated values
M_tot, μB/cell: 0.001
Density of states at the Fermi level, states/eV/f.u.: 1.8
Total DFT energy (no corrections), eV per atom: -7.949

Cell: 5.6791 5.6792 8.2478 Å, 90.00 90.00 90.00°
Fractional positions:
Ac 0.5000 0.7499 0.2500
Ac 0.0000 0.2501 0.7500
Ac 0.5000 0.7499 0.7500
Ac 0.0000 0.2501 0.2500
Ti 0.5000 0.2502 0.5000
Ti 0.0000 0.7498 0.0000
Rh 0.0000 0.7502 0.5000
Rh 0.5000 0.2498 0.0000
O 0.5000 0.2503 0.2626
O 0.5000 0.2503 0.7374
O 0.0000 0.7497 0.2374
O 0.0000 0.7497 0.7626
O 0.2574 0.0077 0.5000
O 0.7426 0.0077 0.5000
O 0.2575 0.4928 0.5000
O 0.7425 0.4928 0.5000
O 0.7575 0.5072 0.0000
O 0.2425 0.5072 0.0000
O 0.2426 0.9923 0.0000
O 0.7574 0.9923 0.0000

***

Record 12
DFT (GGA-PBE) results for crystalline AcTl2RhO8 at its relaxed geometry.

Calculated values
M_tot, μB/cell: 0.190
Density of states at the Fermi level, states/eV/f.u.: 6.3
Total DFT energy (no corrections), eV per atom: -5.611

Cell: 4.8648 5.1026 7.0461 Å, 80.46 88.94 91.47°
Site moments in Bohr magnetons follow the coordinates.
Fractional positions:
Ac 0.0000 0.0000 0.5000  -0.01
Tl 0.4864 0.4437 0.7633  -0.01
Tl 0.5136 0.5563 0.2367  -0.01
Rh 0.0000 0.0000 0.0000  -0.16
O 0.0775 0.7311 0.2335  0.01
O 0.6637 0.7832 0.9698  0.05
O 0.8225 0.1874 0.1714  -0.13
O 0.9225 0.2689 0.7665  0.01
O 0.3363 0.2168 0.0302  0.05
O 0.1775 0.8126 0.8286  -0.13
O 0.5325 0.7559 0.5153  0.23
O 0.4675 0.2441 0.4847  0.23

***

Record 13
DFT (GGA-PBE) results for crystalline Ac2Tl3RhO6 at its relaxed geometry.

Calculated values
M_tot, μB/cell: 0.000
Density of states at the Fermi level, states/eV/f.u.: 5.0
Total DFT energy (no corrections), eV per atom: -5.945

Cell: 6.2471 6.2471 6.7847 Å, 98.40 98.40 119.43°
Fractional positions:
Ac 0.3328 0.6672 0.0000
Ac 0.6672 0.3328 0.0000
Tl 0.1594 0.8406 0.5000
Tl 0.8406 0.1594 0.5000
Tl 0.5000 0.5000 0.5000
Rh 0.0000 0.0000 0.0000
O 0.9416 0.6501 0.8283
O 0.7801 0.7801 0.2016
O 0.0584 0.3499 0.1717
O 0.6501 0.9416 0.8283
O 0.2199 0.2199 0.7984
O 0.3499 0.0584 0.1717

***

Record 14
DFT (GGA-PBE) results for crystalline Ac3Tl3RhO8 at its relaxed geometry.

Calculated values
M_tot, μB/cell: 0.167
Density of states at the Fermi level, states/eV/f.u.: 7.9
Total DFT energy (no corrections), eV per atom: -6.241

Cell: 7.3944 7.3917 7.7387 Å, 118.54 90.00 120.01°
Site moments in Bohr magnetons follow the coordinates.
Fractional positions:
Ac 0.5000 0.0000 0.5000  0.00
Ac 0.5000 0.5000 0.5000  0.00
Ac 0.0000 0.5000 0.5000  0.00
Tl 0.0000 0.0000 0.0000  0.00
Tl 0.0000 0.5000 0.0000  0.00
Tl 0.5000 0.5000 0.0000  0.00
Rh 0.0000 0.0000 0.5000  0.08
O 0.2710 0.5419 0.3130  0.00
O 0.7290 0.4581 0.6870  0.00
O 0.7999 0.5999 0.3299  0.01
O 0.2001 0.4001 0.6701  0.01
O 0.7999 0.0300 0.3299  0.01
O 0.2001 0.9700 0.6701  0.01
O 0.2300 0.0300 0.3300  0.01
O 0.7700 0.9700 0.6700  0.01

***

Record 15
DFT (GGA-PBE) results for crystalline AcTmRhO6 at its relaxed geometry.

Calculated values
M_tot, μB/cell: 2.975
Density of states at the Fermi level, states/eV/f.u.: 1.6
Total DFT energy (no corrections), eV per atom: -7.194

Cell: 5.4967 5.4971 5.3254 Å, 90.00 90.00 60.00°
Site moments in Bohr magnetons follow the coordinates.
Fractional positions:
Ac 0.0000 0.0000 0.0000  0.04
Tm 0.6666 0.6667 0.5000  0.07
Rh 0.3333 0.3333 0.5000  1.36
O 0.0333 0.3464 0.2883  0.20
O 0.3465 0.0334 0.7117  0.20
O 0.6202 0.3465 0.7117  0.20
O 0.0334 0.6202 0.7117  0.20
O 0.3464 0.6202 0.2883  0.20
O 0.6201 0.0333 0.2883  0.20